Entry 1:
Here is a PBEsol-optimized structure of InHg2Pb from Alexandria via LeMat-Bulk. Energies are from SCAN.

CIF file:
```
data_InHg2Pb
_space_group_name_H-M_alt 'P 1'
_space_group_IT_number 1
_cell_length_a 3.7653
_cell_length_b 5.2629
_cell_length_c 6.0278
_cell_angle_alpha 115.88
_cell_angle_beta 108.20
_cell_angle_gamma 90.00
loop_
_space_group_symop_operation_xyz
'x,y,z'
loop_
_atom_site_label
_atom_site_type_symbol
_atom_site_fract_x
_atom_site_fract_y
_atom_site_fract_z
Pb1 Pb 0.2534 0.7534 0.5068
Hg1 Hg 0.0109 0.0109 0.0218
Hg2 Hg 0.7479 0.2479 0.4957
In1 In 0.4879 0.4879 0.9757
```

Energy, eV/atom: -61.324
V, Å³/cell: 100.8
Formation energy, kcal/mol of atoms: 1.17
Size of the total moment, μB per atom: 0.000


Entry 2:
Here is a PBEsol-optimized structure of In2HgPb from Alexandria via LeMat-Bulk. Energies are from SCAN.

CIF file:
```
data_In2HgPb
_space_group_name_H-M_alt 'P 1'
_space_group_IT_number 1
_cell_length_a 3.3715
_cell_length_b 5.7218
_cell_length_c 5.8366
_cell_angle_alpha 101.59
_cell_angle_beta 87.46
_cell_angle_gamma 110.69
loop_
_space_group_symop_operation_xyz
'x,y,z'
loop_
_atom_site_label
_atom_site_type_symbol
_atom_site_fract_x
_atom_site_fract_y
_atom_site_fract_z
Pb1 Pb 0.5114 0.0057 0.5039
Hg1 Hg 0.2687 0.5080 0.7592
In1 In 0.9896 0.9925 0.9947
In2 In 0.7301 0.4938 0.2422
```

Energy, eV/atom: -52.625
V, Å³/cell: 103.1
Formation energy, kcal/mol of atoms: 1.26
Size of the total moment, μB per atom: 0.000